A relaxed Ac3CoO6 crystal, computed with GGA+U.

Summary:
SG ... No. 36
Calculated total energy ... -150.20 eV/cell
Polymorph energy (0 for the lowest one) ... 0 meV per atom

a = 5.8619 Å, b = 7.8546 Å, c = 7.8546 Å
α = 102.84°, β = 90.00°, γ = 90.00°
Each line ends with the local moment (μB).
Element x y z (fractional)
Ac (0.4702, 0.9142, 0.6920)  0.02
Ac (0.9702, 0.6920, 0.9142)  0.02
Ac (0.4331, 0.3939, 0.6061)  0.01
Ac (0.9331, 0.6061, 0.3939)  0.01
Ac (0.9702, 0.0858, 0.3080)  0.02
Ac (0.4702, 0.3080, 0.0858)  0.02
Co (0.0084, 0.1873, 0.8127)  2.95
Co (0.5084, 0.8127, 0.1873)  2.95
O (0.2060, 0.6700, 0.6480)  0.01
O (0.7060, 0.6480, 0.6700)  0.01
O (0.1723, 0.4077, 0.8897)  0.16
O (0.6723, 0.8897, 0.4077)  0.16
O (0.1494, 0.0527, 0.9473)  0.26
O (0.6974, 0.2135, 0.7865)  0.20
O (0.1974, 0.7865, 0.2135)  0.20
O (0.6494, 0.9473, 0.0527)  0.26
O (0.1723, 0.1103, 0.5923)  0.16
O (0.6723, 0.5923, 0.1103)  0.16
O (0.2060, 0.3520, 0.3300)  0.01
O (0.7060, 0.3300, 0.3520)  0.01